VASP calculation (PBE) on an optimized crystal structure of SrZnGa2Si.

Summary:
Fermi-level density of states = 0.298 states/eV per atom
formation energy without anion corrections = -0.34 eV/atom

Unit cell a=4.415 b=4.432 c=10.511 alpha=90.00 beta=90.00 gamma=90.00
Space group Imm2 (No. 44)
Asymmetric unit:
Sr 0.000 0.000 0.000 (multiplicity 2)
Zn 0.000 0.500 0.751 (multiplicity 2)
Ga 0.000 0.000 0.618 (multiplicity 2)
Ga 0.000 0.500 0.251 (multiplicity 2)
Si 0.000 0.000 0.381 (multiplicity 2)